The following is a DFT calculation (PBE with a Hubbard U) of a relaxed Mg2FeO4 crystal.

energy above the most stable polymorph in this dataset = 25 meV/atom
DFT total energy = -6.033 eV/atom

Cell lengths 5.1747, 5.8931, 11.0015 Å; angles 90.00, 117.75, 90.00 degrees
With the nearest neighbours (Å) after each atom.
Space group P2_1/c (No. 14)
Inequivalent atoms, fractional coordinates:
Mg 0.0029 0.1242 0.2451 [4 per cell]  6 O 2.04-2.20
Mg 0.2954 0.6273 0.5401 [4 per cell]  5 O 2.00-2.20
Fe 0.2688 0.1281 0.5273 [4 per cell]  4 O 1.84-2.03
O 0.1852 0.1417 0.1161 [4 per cell]  1 Fe 1.84, 2 Mg 2.00-2.04
O 0.1851 0.6056 0.1205 [4 per cell]  1 Fe 1.88, 1 Mg 2.01
O 0.2638 0.1357 0.8925 [4 per cell]  1 Fe 2.03, 4 Mg 2.04-2.20
O 0.2927 0.6160 0.8937 [4 per cell]  2 Fe 2.02-2.10, 3 Mg 2.15-2.20